{"formula": "Pr4Nd7Dy", "functional": "PBE", "state": "relaxed", "relative_energy_mev_per_atom": 0, "dos_at_fermi_per_ev_atom": 1.2937, "spacegroup": "No. 2", "lattice_angstrom": [[-4.6208, 2.2179, 5.3580], [-1.2815, -6.1176, 1.4258], [1.7007, 0.1225, 11.6914]], "species": ["Nd", "Nd", "Nd", "Nd", "Nd", "Nd", "Nd", "Pr", "Pr", "Pr", "Pr", "Dy"], "frac_coords": [[0.0811, 0.2765, 0.6708], [0.2477, 0.5002, 0.0004], [0.6688, 0.2216, 0.3312], [0.5000, 0.0000, 0.0000], [0.9189, 0.7235, 0.3292], [0.7523, 0.4998, 0.9996], [0.3312, 0.7784, 0.6688], [0.5778, 0.2771, 0.6705], [0.8320, 0.7753, 0.6683], [0.4222, 0.7229, 0.3295], [0.1680, 0.2247, 0.3317], [0.0000, 0.0000, 0.0000]]}

{"formula": "K4MgNp3O12", "functional": "PBE", "state": "relaxed", "e_form_raw_mev_per_atom": -2582, "dos_at_fermi_per_ev_atom": 0.2432, "spacegroup": "No. 229", "lattice_angstrom": [[7.3451, 0.0000, 0.0000], [-2.4484, 6.9250, 0.0000], [-2.4484, -3.4625, 5.9973]], "species": ["O", "O", "O", "O", "O", "O", "O", "O", "O", "O", "O", "O", "Np", "Np", "Np", "K", "K", "K", "K", "Mg"], "frac_coords": [[0.7500, 0.2500, 0.5000], [0.2500, 0.7500, 0.5000], [0.5000, 0.7500, 0.2500], [0.2500, 0.5000, 0.7500], [0.0000, 0.7335, 0.7335], [0.7335, 0.0000, 0.7335], [0.5000, 0.2500, 0.7500], [0.2665, 0.2665, 0.0000], [0.0000, 0.2665, 0.2665], [0.2665, 0.0000, 0.2665], [0.7335, 0.7335, 0.0000], [0.7500, 0.5000, 0.2500], [0.0000, 0.5000, 0.5000], [0.5000, 0.5000, 0.0000], [0.5000, 0.0000, 0.5000], [0.0000, 0.0000, 0.5000], [0.0000, 0.5000, 0.0000], [0.5000, 0.5000, 0.5000], [0.5000, 0.0000, 0.0000], [0.0000, 0.0000, 0.0000]]}